The following is a PBE calculation of a relaxed structure of PrCo2GeP, from OQMD via LeMat-Bulk.

a b c (Å): 3.997 3.997 9.973
angles (deg): 90.00 90.00 90.00
Space group I4mm (No. 107)
Inequivalent atoms, fractional coordinates:
Pr 0.000 0.000 0.000 x2
Co 0.000 0.500 0.260 x4
Ge 0.000 0.000 0.634 x2
P 0.000 0.000 0.362 x2

M_tot in μB/cell: 2.6

The following is a PBE calculation of a relaxed structure of Er13C2, from OQMD via LeMat-Bulk.

a b c (Å): 10.5708 10.5708 15.2110
angles (deg): 90.00 90.00 120.00
Space group R-3m (No. 166, hexagonal axes)
Inequivalent atoms, fractional coordinates:
Er 0.0000 0.0000 0.0000 x3
Er 0.1022 0.2044 0.7595 x18
Er 0.1081 0.5541 0.0866 x18
C 0.0000 0.0000 0.1548 x6

M_tot in μB/cell: 6.9

The following is a PBE calculation of a relaxed structure of CoTcAu2, from OQMD via LeMat-Bulk.

a b c (Å): 6.304 6.304 6.304
angles (deg): 90.00 90.00 90.00
Space group Fm-3m (No. 225)
Inequivalent atoms, fractional coordinates:
Co 0.000 0.000 0.000 x4
Tc 0.000 0.000 0.500 x4
Au 0.250 0.250 0.250 x8

Formation enthalpy at 0 K in meV per atom: 530
M_tot in μB/cell: 1.0
Relative energy among the computed polymorphs in kJ/mol of formula units: 17.5

The following is a PBE calculation of a relaxed structure of TbErTlPd2, from OQMD via LeMat-Bulk.

a b c (Å): 3.650 4.120 15.061
angles (deg): 90.00 90.00 90.00
Space group Amm2 (No. 38)
Inequivalent atoms, fractional coordinates:
Tb 0.000 0.000 0.000 x2
Er 0.000 0.000 0.731 x2
Tl 0.500 0.000 0.366 x2
Pd 0.500 0.000 0.177 x2
Pd 0.500 0.000 0.557 x2

M_tot in μB/cell: 0.0

The following is a PBE calculation of a relaxed structure of Na5Zr2F13, from OQMD via LeMat-Bulk.

a b c (Å): 11.337 5.387 8.288
angles (deg): 90.00 97.09 90.00
Space group C2/m (No. 12)
Inequivalent atoms, fractional coordinates:
Na 0.000 0.000 0.000 x2
Na 0.163 0.000 0.430 x4
Na 0.222 0.500 0.157 x4
Zr 0.074 0.500 0.747 x4
F 0.000 0.500 0.500 x2
F 0.065 0.255 0.246 x8
F 0.136 0.268 0.937 x8
F 0.185 0.256 0.643 x8

M_tot in μB/cell: 0.0
Relative energy among the computed polymorphs in kJ/mol of formula units: 0.0

The following is a PBE calculation of a relaxed structure of KTeIrO, from OQMD via LeMat-Bulk.

a b c (Å): 4.046 7.932 5.794
angles (deg): 90.00 90.00 90.00
Space group Pmc2_1 (No. 26)
Inequivalent atoms, fractional coordinates:
K 0.000 0.135 0.000 x2
Te 0.000 0.348 0.496 x2
Ir 0.500 0.499 0.243 x2
O 0.500 0.315 0.992 x2

M_tot in μB/cell: 0.3
Relative energy among the computed polymorphs in kJ/mol of formula units: 0.0

no.,total DFT energy (no corrections) (Ry/atom)
1,-0.484
2,-0.341
3,-0.402
4,-0.379
5,-0.417
6,-0.374